Crystalline PrCo4O8 at its relaxed geometry. Source: Alexandria, functional PBE with a Hubbard U.

The structure in CIF format:
```
data_PrCo4O8
_chemical_formula_sum 'Pr2 Co8 O16'
_cell_length_a 5.6231
_cell_length_b 5.6231
_cell_length_c 12.0535
_cell_angle_alpha 90.00
_cell_angle_beta 90.00
_cell_angle_gamma 120.00
_space_group_name_H-M_alt 'P 63/m m c'
_space_group_IT_number 194
_space_group_name_Hall '-P 6c 2c'
loop_
_atom_site_label
_atom_site_fract_x
_atom_site_fract_y
_atom_site_fract_z
Pr1 0.0000 0.0000 0.0000
Co1 0.0000 0.0000 0.2500
Co2 0.0059 0.5029 0.2500
O1 0.1650 0.3300 0.6508
O2 0.3333 0.6667 0.1526
```

Raw total energy in eV per atom: -6.013
Calculated volume in Å³/cell: 330